The following is a GGA-PBEsol calculation of a relaxed HgSb2P crystal, from Alexandria via LeMat-Bulk.

Cell lengths 5.739, 5.739, 2.923 Å; angles 90.00, 90.00, 90.00 degrees
Sites, in units of the cell vectors:
Hg 0.000 0.000 0.000
Sb 0.000 0.500 0.000
Sb 0.500 0.000 0.000
P 0.500 0.500 0.000

Calculated values
SG   P4/mmm, No. 123
Polymorph energy (0 for the lowest one)   1.14 kcal/mol of atoms
Raw formation energy   0.205 eV/atom


The following is a GGA-PBEsol calculation of a relaxed HgSb2P crystal, from Alexandria via LeMat-Bulk.

Cell lengths 3.264, 3.264, 9.282 Å; angles 90.00, 90.00, 111.66 degrees
Sites, in units of the cell vectors:
Hg 0.000 0.000 0.000
Sb 0.000 0.000 0.435
Sb 0.500 0.500 0.734
P 0.500 0.500 0.227

Calculated values
SG   Cmm2, No. 35
Polymorph energy (0 for the lowest one)   4.19 kcal/mol of atoms
Raw formation energy   0.337 eV/atom


The following is a GGA-PBEsol calculation of a relaxed Sc2HgP crystal, from Alexandria via LeMat-Bulk.

Cell lengths 3.224, 3.224, 7.403 Å; angles 90.00, 90.00, 99.66 degrees
Sites, in units of the cell vectors:
Sc 0.000 0.000 0.213
Sc 0.000 0.000 0.787
Hg 0.500 0.500 0.500
P 0.500 0.500 0.000

Calculated values
SG   Cmmm, No. 65
Polymorph energy (0 for the lowest one)   4.54 kcal/mol of atoms
Energy of formation   -0.776 eV per atom


The following is a GGA-PBEsol calculation of a relaxed Sc2HgP crystal, from Alexandria via LeMat-Bulk.

Cell lengths 3.374, 3.374, 6.523 Å; angles 90.00, 90.00, 90.00 degrees
Sites, in units of the cell vectors:
Sc 0.000 0.000 0.218
Sc 0.000 0.000 0.782
Hg 0.500 0.500 0.500
P 0.500 0.500 0.000

Calculated values
SG   P4/mmm, No. 123
Polymorph energy (0 for the lowest one)   3.86 kcal/mol of atoms
Energy of formation   -0.806 eV per atom


The following is a GGA-PBEsol calculation of a relaxed Sc2HgP crystal, from Alexandria via LeMat-Bulk.

Cell lengths 4.779, 4.779, 4.779 Å; angles 60.00, 60.00, 60.00 degrees
Sites, in units of the cell vectors:
Sc 0.000 0.000 0.000
Sc 0.250 0.250 0.250
Hg 0.500 0.500 0.500
P 0.750 0.750 0.750

Calculated values
SG   F-43m, No. 216
Polymorph energy (0 for the lowest one)   22.28 kcal/mol of atoms
Energy of formation   -0.007 eV per atom


The following is a GGA-PBEsol calculation of a relaxed Sc2HgP crystal, from Alexandria via LeMat-Bulk.

Cell lengths 7.525, 7.525, 7.525 Å; angles 27.78, 27.78, 27.78 degrees
Sites, in units of the cell vectors:
Sc 0.235 0.235 0.235
Sc 0.765 0.765 0.765
Hg 0.000 0.000 0.000
P 0.500 0.500 0.500

Calculated values
SG   R-3m, No. 166
Polymorph energy (0 for the lowest one)   0.00 kcal/mol of atoms
Energy of formation   -0.973 eV per atom


The following is a GGA-PBEsol calculation of a relaxed Sc2HgP crystal, from Alexandria via LeMat-Bulk.

Cell lengths 7.566, 7.566, 7.566 Å; angles 27.60, 27.60, 27.60 degrees
Sites, in units of the cell vectors:
Sc 0.000 0.000 0.000
Sc 0.198 0.198 0.198
Hg 0.431 0.431 0.431
P 0.600 0.600 0.600

Calculated values
SG   R3m, No. 160
Polymorph energy (0 for the lowest one)   1.14 kcal/mol of atoms
Energy of formation   -0.924 eV per atom


The following is a GGA-PBEsol calculation of a relaxed HgPSe2 crystal, from Alexandria via LeMat-Bulk.

Cell lengths 3.047, 3.047, 9.499 Å; angles 90.00, 90.00, 90.00 degrees
Sites, in units of the cell vectors:
Hg 0.000 0.000 0.000
P 0.500 0.500 0.293
Se 0.000 0.000 0.416
Se 0.500 0.500 0.723

Calculated values
SG   P4mm, No. 99
Raw formation energy   0.356 eV/atom


The following is a GGA-PBEsol calculation of a relaxed Hg3PSe crystal, from Alexandria via LeMat-Bulk.

Cell lengths 4.973, 4.973, 4.973 Å; angles 90.00, 90.00, 90.00 degrees
Sites, in units of the cell vectors:
Hg 0.000 0.000 0.500
Hg 0.000 0.500 0.000
Hg 0.500 0.000 0.000
P 0.000 0.000 0.000
Se 0.500 0.500 0.500

Calculated values
SG   Pm-3m, No. 221
Raw formation energy   0.275 eV/atom


The following is a GGA-PBEsol calculation of a relaxed HgP2Se crystal, from Alexandria via LeMat-Bulk.

Cell lengths 3.567, 3.744, 5.875 Å; angles 90.00, 90.00, 90.00 degrees
Sites, in units of the cell vectors:
Hg 0.000 0.000 0.000
P 0.000 0.500 0.500
P 0.500 0.500 0.000
Se 0.500 0.000 0.500

Calculated values
SG   Pmmm, No. 47
Raw formation energy   0.589 eV/atom


The following is a GGA-PBEsol calculation of a relaxed HgPSe crystal, from Alexandria via LeMat-Bulk.

Cell lengths 3.708, 3.708, 5.127 Å; angles 90.00, 90.00, 120.00 degrees
Sites, in units of the cell vectors:
Hg 0.000 0.000 0.000
P 0.333 0.667 0.676
Se 0.667 0.333 0.385

Calculated values
SG   P3m1, No. 156
Raw formation energy   0.221 eV/atom


The following is a GGA-PBEsol calculation of a relaxed HgTePSe2 crystal, from Alexandria via LeMat-Bulk.

Cell lengths 5.023, 5.023, 5.563 Å; angles 90.00, 90.00, 90.00 degrees
Sites, in units of the cell vectors:
Hg 0.000 0.000 0.000
Te 0.000 0.000 0.500
P 0.500 0.500 0.500
Se 0.000 0.500 0.000
Se 0.500 0.000 0.000

Calculated values
SG   P4/mmm, No. 123
Raw formation energy   1.124 eV/atom


The following is a GGA-PBEsol calculation of a relaxed HgPWSe2 crystal, from Alexandria via LeMat-Bulk.

Cell lengths 4.827, 4.827, 4.729 Å; angles 90.00, 90.00, 90.00 degrees
Sites, in units of the cell vectors:
Hg 0.000 0.000 0.000
P 0.000 0.000 0.500
W 0.500 0.500 0.000
Se 0.000 0.500 0.500
Se 0.500 0.000 0.500

Calculated values
SG   P4/mmm, No. 123
Raw formation energy   1.311 eV/atom


The following is a GGA-PBEsol calculation of a relaxed SiHg3P crystal, from Alexandria via LeMat-Bulk.

Cell lengths 5.000, 5.000, 5.000 Å; angles 90.00, 90.00, 90.00 degrees
Sites, in units of the cell vectors:
Si 0.000 0.000 0.000
Hg 0.000 0.500 0.500
Hg 0.500 0.000 0.500
Hg 0.500 0.500 0.000
P 0.500 0.500 0.500

Calculated values
SG   Pm-3m, No. 221
Raw formation energy   0.744 eV/atom